Entry 1:
A relaxed structure of Na4Tm3PbO8, computed with GGA-PBE.

* DOS(E_F): 1.68 states/eV/f.u.
* crystal system: trigonal
* magnetization: 0.00 μB per formula unit
* formation energy without anion corrections: -2.43 eV per atom
* calculated total energy: -0.46350 Ry/atom

Unit cell a=6.848 b=6.848 c=6.848 alpha=59.53 beta=59.53 gamma=59.53
Positions (direct):
Na1 0.000 0.000 0.000
Na2 0.000 0.500 0.500
Na3 0.500 0.000 0.500
Na4 0.500 0.500 0.000
Tm1 0.000 0.000 0.500
Tm2 0.000 0.500 0.000
Tm3 0.500 0.000 0.000
Pb1 0.500 0.500 0.500
O1 0.223 0.746 0.746
O2 0.235 0.235 0.235
O3 0.254 0.254 0.777
O4 0.254 0.777 0.254
O5 0.746 0.223 0.746
O6 0.746 0.746 0.223
O7 0.765 0.765 0.765
O8 0.777 0.254 0.254

---

Entry 2:
A relaxed structure of Na2Tm2PbO6, computed with GGA-PBE.

* DOS(E_F): 0.00 states/eV/f.u.
* crystal system: monoclinic
* magnetization: 0.00 μB per formula unit
* formation energy without anion corrections: -2.29 eV per atom
* calculated total energy: -0.46944 Ry/atom

Unit cell a=5.854 b=5.854 c=5.935 alpha=98.60 beta=98.60 gamma=120.39
Positions (direct):
Na1 0.165 0.835 0.000
Na2 0.835 0.165 0.000
Tm1 0.335 0.665 0.500
Tm2 0.665 0.335 0.500
Pb1 0.000 0.000 0.500
O1 0.052 0.396 0.702
O2 0.256 0.256 0.298
O3 0.396 0.052 0.702
O4 0.604 0.948 0.298
O5 0.744 0.744 0.702
O6 0.948 0.604 0.298

---

Entry 3:
A relaxed structure of Na2TmPbO4, computed with GGA-PBE.

* DOS(E_F): 2.83 states/eV/f.u.
* crystal system: monoclinic
* magnetization: 0.00 μB per formula unit
* formation energy without anion corrections: -1.99 eV per atom
* calculated total energy: -0.42769 Ry/atom

Unit cell a=5.958 b=3.436 c=5.984 alpha=90.00 beta=109.39 gamma=90.00
Positions (direct):
Na1 0.000 0.000 0.000
Na2 0.500 0.500 0.000
Tm1 0.000 0.500 0.500
Pb1 0.500 0.000 0.500
O1 0.222 0.000 0.714
O2 0.244 0.500 0.277
O3 0.756 0.500 0.723
O4 0.778 0.000 0.286

---

Entry 4:
A relaxed structure of NaUPb2O8, computed with GGA-PBE.

* DOS(E_F): 7.78 states/eV/f.u.
* crystal system: tetragonal
* magnetization: 1.06 μB per formula unit
* formation energy without anion corrections: -1.31 eV per atom
* calculated total energy: -0.46191 Ry/atom

Unit cell a=6.307 b=6.307 c=6.307 alpha=108.90 beta=108.90 gamma=110.63
Positions (direct):
Na1 0.000 0.000 0.000
U1 0.250 0.750 0.500
Pb1 0.500 0.500 0.000
Pb2 0.750 0.250 0.500
O1 0.312 0.095 0.783
O2 0.312 0.529 0.217
O3 0.345 0.022 0.323
O4 0.471 0.688 0.783
O5 0.699 0.022 0.677
O6 0.905 0.688 0.217
O7 0.978 0.301 0.323
O8 0.978 0.655 0.677

---

Entry 5:
A relaxed structure of NaUPbO6, computed with GGA-PBE.

* DOS(E_F): 9.53 states/eV/f.u.
* crystal system: tetragonal
* magnetization: 1.01 μB per formula unit
* formation energy without anion corrections: -1.80 eV per atom
* calculated total energy: -0.50857 Ry/atom

Unit cell a=5.163 b=5.163 c=10.144 alpha=90.00 beta=90.00 gamma=90.00
Positions (direct):
Na1 0.000 0.000 0.000
Na2 0.500 0.500 0.500
U1 0.000 0.000 0.666
U2 0.500 0.500 0.166
Pb1 0.000 0.000 0.330
Pb2 0.500 0.500 0.830
O1 0.181 0.181 0.507
O2 0.198 0.198 0.809
O3 0.213 0.213 0.178
O4 0.287 0.713 0.678
O5 0.302 0.698 0.309
O6 0.319 0.681 0.007
O7 0.681 0.319 0.007
O8 0.698 0.302 0.309
O9 0.713 0.287 0.678
O10 0.787 0.787 0.178
O11 0.802 0.802 0.809
O12 0.819 0.819 0.507